{
  "formula": "Eu2AlTl",
  "functional": "PBE",
  "state": "relaxed",
  "magmom_total_mub_per_atom": 3.557,
  "ef_ev_per_atom": -0.314,
  "vol_a3_per_atom": 29.364,
  "crystal_system": "tetragonal",
  "spacegroup": "P4/mmm, No. 123",
  "cell": [[3.852, 0.000, 0.000], [0.000, 3.852, 0.000], [0.000, 0.000, 7.918]],
  "species": ["Eu", "Eu", "Al", "Tl"],
  "frac_coords": [[0.000, 0.000, 0.235], [0.000, 0.000, 0.765], [0.500, 0.500, 0.000], [0.500, 0.500, 0.500]]
}

=====

{
  "formula": "LaNdBiBr",
  "functional": "PBE",
  "state": "relaxed",
  "magmom_total_mub_per_atom": 0.077,
  "raw_formation_energy_ev_per_atom": -1.0458,
  "vol_a3_per_atom": 29.762,
  "crystal_system": "cubic",
  "spacegroup": "F-43m, No. 216",
  "cell": [[0.000, 3.904, 3.904], [3.904, 0.000, 3.904], [3.904, 3.904, 0.000]],
  "species": ["La", "Nd", "Bi", "Br"],
  "frac_coords": [[0.000, 0.000, 0.000], [0.500, 0.500, 0.500], [0.750, 0.750, 0.750], [0.250, 0.250, 0.250]]
}

=====

{
  "formula": "NdHoErZn",
  "functional": "PBE",
  "state": "relaxed",
  "de_polymorph_kcal_per_mol_atoms": 0.00,
  "magmom_total_mub_per_atom": 0.000,
  "ef_ev_per_atom": -0.165,
  "vol_a3_per_atom": 27.718,
  "crystal_system": "tetragonal",
  "spacegroup": "P4mm, No. 99",
  "cell": [[3.568, 0.000, 0.000], [0.000, 3.568, 0.000], [0.000, 0.000, 8.711]],
  "species": ["Nd", "Ho", "Er", "Zn"],
  "frac_coords": [[0.000, 0.000, 0.000], [0.500, 0.500, 0.701], [0.500, 0.500, 0.298], [0.000, 0.000, 0.498]]
}

=====

{
  "formula": "Mg4AgSn",
  "functional": "PBE",
  "state": "relaxed",
  "magmom_total_mub_per_atom": 0.000,
  "ef_ev_per_atom": -0.135,
  "vol_a3_per_atom": 22.475,
  "crystal_system": "monoclinic",
  "spacegroup": "C2/c, No. 15",
  "cell": [[4.064, -6.260, 0.000], [4.064, 6.260, 0.000], [-1.921, 0.000, 5.301]],
  "species": ["Mg", "Mg", "Mg", "Mg", "Mg", "Mg", "Mg", "Mg", "Ag", "Ag", "Sn", "Sn"],
  "frac_coords": [[0.077, 0.711, 0.942], [0.201, 0.387, 0.641], [0.289, 0.923, 0.558], [0.387, 0.201, 0.141], [0.613, 0.799, 0.859], [0.711, 0.077, 0.442], [0.799, 0.613, 0.359], [0.923, 0.289, 0.058], [0.001, 0.999, 0.750], [0.999, 0.001, 0.250], [0.382, 0.618, 0.250], [0.618, 0.382, 0.750]]
}